{
  "formula": "TaCu2Si",
  "functional": "PBE",
  "state": "optimized geometry",
  "lattice_angstrom": [[-1.8386, 1.8386, 4.1307], [1.8386, -1.8386, 4.1307], [1.8386, 1.8386, -4.1307]],
  "species": ["Ta", "Cu", "Cu", "Si"],
  "frac_coords": [[0.0000, 0.0000, 0.0000], [0.2500, 0.7500, 0.5000], [0.7500, 0.2500, 0.5000], [0.5000, 0.5000, 0.0000]],
  "vol_a3_per_atom": 13.963,
  "e_form_raw_ev_per_atom": 0.01
}

{
  "formula": "TaCu2Si",
  "functional": "PBE",
  "state": "optimized geometry",
  "lattice_angstrom": [[4.6546, -1.3659, 0.0000], [4.6546, 1.3659, 0.0000], [-1.6122, 0.0000, 4.4458]],
  "species": ["Ta", "Cu", "Cu", "Si"],
  "frac_coords": [[0.0000, 0.0000, 0.0000], [0.5366, 0.5366, 0.5178], [0.7808, 0.7808, 0.3679], [0.2460, 0.2460, 0.8593]],
  "vol_a3_per_atom": 14.133,
  "e_form_raw_ev_per_atom": 0.01
}

{
  "formula": "TaCu2Si",
  "functional": "PBE",
  "state": "optimized geometry",
  "lattice_angstrom": [[2.7770, 0.0000, 0.0000], [0.0000, 4.2063, 0.0000], [-0.4143, 0.0000, 4.8469]],
  "species": ["Ta", "Cu", "Cu", "Si"],
  "frac_coords": [[0.0000, 0.0000, 0.0000], [0.4498, 0.5000, 0.7512], [0.5502, 0.5000, 0.2488], [0.5000, 0.0000, 0.5000]],
  "vol_a3_per_atom": 14.154,
  "e_form_raw_ev_per_atom": -0.04
}

{
  "formula": "TaCu2Si",
  "functional": "PBE",
  "state": "optimized geometry",
  "lattice_angstrom": [[2.7381, 0.0000, 0.0000], [0.0000, 3.4403, 0.0000], [0.0000, 0.0000, 5.8470]],
  "species": ["Ta", "Cu", "Cu", "Si"],
  "frac_coords": [[0.0000, 0.0000, 0.0000], [0.0000, 0.0000, 0.5060], [0.5000, 0.5000, 0.2912], [0.5000, 0.5000, 0.7302]],
  "vol_a3_per_atom": 13.770,
  "e_form_raw_ev_per_atom": -0.02
}

{
  "formula": "TaCu2Si",
  "functional": "PBE",
  "state": "optimized geometry",
  "lattice_angstrom": [[1.4016, 0.8092, 8.4406], [-1.4016, 0.8092, 8.4406], [0.0000, -1.6184, 8.4406]],
  "species": ["Ta", "Cu", "Cu", "Si"],
  "frac_coords": [[0.0000, 0.0000, 0.0000], [0.2442, 0.2442, 0.2442], [0.4969, 0.4969, 0.4969], [0.7542, 0.7542, 0.7542]],
  "vol_a3_per_atom": 14.360,
  "e_form_raw_ev_per_atom": 0.13
}

{
  "formula": "TaCu2Si",
  "functional": "PBE",
  "state": "optimized geometry",
  "lattice_angstrom": [[5.0294, -1.3622, 0.0000], [5.0294, 1.3622, 0.0000], [-1.8180, 0.0000, 4.1253]],
  "species": ["Ta", "Cu", "Cu", "Si"],
  "frac_coords": [[0.0000, 0.0000, 0.0000], [0.2308, 0.2308, 0.7326], [0.7692, 0.7692, 0.2674], [0.5000, 0.5000, 0.5000]],
  "vol_a3_per_atom": 14.132,
  "e_form_raw_ev_per_atom": -0.02
}

{
  "formula": "TaCu2Si",
  "functional": "PBE",
  "state": "optimized geometry",
  "lattice_angstrom": [[2.5862, -3.8451, 0.0000], [2.5862, 3.8451, 0.0000], [0.0000, 0.0000, 2.9097]],
  "species": ["Ta", "Cu", "Cu", "Si"],
  "frac_coords": [[0.0000, 0.0000, 0.0000], [0.0000, 0.5000, 0.5000], [0.5000, 0.0000, 0.5000], [0.5000, 0.5000, 0.0000]],
  "vol_a3_per_atom": 14.467,
  "e_form_raw_ev_per_atom": 0.14
}

{
  "formula": "TaCu2Si",
  "functional": "PBE",
  "state": "optimized geometry",
  "lattice_angstrom": [[2.0500, -2.0539, 0.0000], [2.0500, 2.0539, 0.0000], [0.0000, 0.0000, 6.5495]],
  "species": ["Ta", "Cu", "Cu", "Si"],
  "frac_coords": [[0.0000, 0.0000, 0.0000], [0.5000, 0.5000, 0.2873], [0.5000, 0.5000, 0.7127], [0.0000, 0.0000, 0.5000]],
  "vol_a3_per_atom": 13.788,
  "e_form_raw_ev_per_atom": 0.06
}

{
  "formula": "Ta3CuSi",
  "functional": "PBE",
  "state": "optimized geometry",
  "lattice_angstrom": [[4.6199, 0.0000, 0.0000], [0.0000, 4.6199, 0.0000], [0.0000, 0.0000, 4.6199]],
  "species": ["Ta", "Ta", "Ta", "Cu", "Si"],
  "frac_coords": [[0.0000, 0.0000, 0.5000], [0.0000, 0.5000, 0.0000], [0.5000, 0.0000, 0.0000], [0.5000, 0.5000, 0.5000], [0.0000, 0.0000, 0.0000]],
  "vol_a3_per_atom": 19.720,
  "polymorph_energy_mev_per_atom": 0,
  "e_form_raw_ev_per_atom": 0.97
}

{
  "formula": "TaCu2Si",
  "functional": "PBE",
  "state": "optimized geometry",
  "lattice_angstrom": [[3.7114, 0.0000, 0.0000], [0.0000, 3.7114, 0.0000], [0.0000, 0.0000, 3.9967]],
  "species": ["Ta", "Cu", "Cu", "Si"],
  "frac_coords": [[0.0000, 0.0000, 0.0000], [0.0000, 0.5000, 0.5000], [0.5000, 0.0000, 0.5000], [0.5000, 0.5000, 0.0000]],
  "vol_a3_per_atom": 13.763,
  "e_form_raw_ev_per_atom": -0.14
}

{
  "formula": "TaCu2Si2",
  "functional": "PBE",
  "state": "optimized geometry",
  "lattice_angstrom": [[6.9791, 0.0000, 0.0000], [0.0000, 6.9791, 0.0000], [0.0000, 0.0000, 2.8547]],
  "species": ["Ta", "Ta", "Cu", "Cu", "Cu", "Cu", "Si", "Si", "Si", "Si"],
  "frac_coords": [[0.0000, 0.0000, 0.0000], [0.5000, 0.5000, 0.0000], [0.1381, 0.3619, 0.5000], [0.3619, 0.8619, 0.5000], [0.6381, 0.1381, 0.5000], [0.8619, 0.6381, 0.5000], [0.1560, 0.6560, 0.0000], [0.3440, 0.1560, 0.0000], [0.6560, 0.8440, 0.0000], [0.8440, 0.3440, 0.0000]],
  "vol_a3_per_atom": 13.904,
  "e_form_raw_ev_per_atom": -0.02
}

{
  "formula": "Tb2Cu3Si4",
  "functional": "PBE",
  "state": "optimized geometry",
  "lattice_angstrom": [[2.7424, -7.2730, 0.0000], [2.7424, 7.2730, 0.0000], [0.0000, 0.0000, 7.2784]],
  "species": ["Tb", "Tb", "Tb", "Tb", "Cu", "Cu", "Cu", "Cu", "Cu", "Cu", "Si", "Si", "Si", "Si", "Si", "Si", "Si", "Si"],
  "frac_coords": [[0.1091, 0.8909, 0.9037], [0.3909, 0.6091, 0.4037], [0.6091, 0.3909, 0.5963], [0.8909, 0.1091, 0.0963], [0.0000, 0.0000, 0.5000], [0.0266, 0.4734, 0.7500], [0.4734, 0.0266, 0.2500], [0.5000, 0.5000, 0.0000], [0.5266, 0.9734, 0.7500], [0.9734, 0.5266, 0.2500], [0.1791, 0.8209, 0.5173], [0.1907, 0.3093, 0.7500], [0.3093, 0.1907, 0.2500], [0.3209, 0.6791, 0.0173], [0.6791, 0.3209, 0.9827], [0.6907, 0.8093, 0.7500], [0.8093, 0.6907, 0.2500], [0.8209, 0.1791, 0.4827]],
  "vol_a3_per_atom": 16.130,
  "e_form_raw_ev_per_atom": -0.45
}

{
  "formula": "Tb3CuSi3",
  "functional": "PBE",
  "state": "optimized geometry",
  "lattice_angstrom": [[-1.9618, 2.1088, 8.8390], [1.9618, -2.1088, 8.8390], [1.9618, 2.1088, -8.8390]],
  "species": ["Tb", "Tb", "Tb", "Cu", "Si", "Si", "Si"],
  "frac_coords": [[0.0000, 0.0000, 0.0000], [0.1854, 0.6854, 0.5000], [0.3675, 0.3675, 0.0000], [0.6164, 0.1164, 0.5000], [0.5421, 0.5421, 0.0000], [0.7452, 0.2452, 0.5000], [0.8284, 0.8284, 0.0000]],
  "vol_a3_per_atom": 20.896,
  "e_form_raw_ev_per_atom": -0.72
}

{
  "formula": "TbCu4Si",
  "functional": "PBE",
  "state": "optimized geometry",
  "lattice_angstrom": [[0.0000, 3.5532, 3.5532], [3.5532, 0.0000, 3.5532], [3.5532, 3.5532, 0.0000]],
  "species": ["Tb", "Cu", "Cu", "Cu", "Cu", "Si"],
  "frac_coords": [[0.0000, 0.0000, 0.0000], [0.3755, 0.3755, 0.3755], [0.3755, 0.3755, 0.8734], [0.3755, 0.8734, 0.3755], [0.8734, 0.3755, 0.3755], [0.7500, 0.7500, 0.7500]],
  "vol_a3_per_atom": 14.953,
  "e_form_raw_ev_per_atom": -0.13
}

{
  "formula": "TbCuSi",
  "functional": "PBE",
  "state": "optimized geometry",
  "lattice_angstrom": [[4.0521, 0.0000, 0.0000], [-2.0260, 3.5092, 0.0000], [0.0000, 0.0000, 4.0368]],
  "species": ["Tb", "Cu", "Si"],
  "frac_coords": [[0.0000, 0.0000, 0.0000], [0.3333, 0.6667, 0.5000], [0.6667, 0.3333, 0.5000]],
  "vol_a3_per_atom": 19.133,
  "e_form_raw_ev_per_atom": -0.63
}

{
  "formula": "Tb2Cu5Si4",
  "functional": "PBE",
  "state": "optimized geometry",
  "lattice_angstrom": [[0.0000, 4.5817, 6.9278], [2.7549, 0.0000, 6.9278], [2.7549, 4.5817, 0.0000]],
  "species": ["Tb", "Tb", "Cu", "Cu", "Cu", "Cu", "Cu", "Si", "Si", "Si", "Si"],
  "frac_coords": [[0.1456, 0.1456, 0.8544], [0.8544, 0.8544, 0.1456], [0.0000, 0.0000, 0.5000], [0.2500, 0.2500, 0.2500], [0.5000, 0.5000, 0.0000], [0.5000, 0.5000, 0.5000], [0.7500, 0.7500, 0.7500], [0.2249, 0.4984, 0.5016], [0.4984, 0.2249, 0.7751], [0.5016, 0.7751, 0.2249], [0.7751, 0.5016, 0.4984]],
  "vol_a3_per_atom": 15.898,
  "e_form_raw_ev_per_atom": -0.37
}

{
  "formula": "TbCuSi",
  "functional": "PBE",
  "state": "optimized geometry",
  "lattice_angstrom": [[4.1667, 0.0000, 0.0000], [-2.0833, 3.6084, 0.0000], [0.0000, 0.0000, 7.5028]],
  "species": ["Tb", "Tb", "Cu", "Cu", "Si", "Si"],
  "frac_coords": [[0.0000, 0.0000, 0.0000], [0.0000, 0.0000, 0.5000], [0.3333, 0.6667, 0.2500], [0.6667, 0.3333, 0.7500], [0.3333, 0.6667, 0.7500], [0.6667, 0.3333, 0.2500]],
  "vol_a3_per_atom": 18.801,
  "e_form_raw_ev_per_atom": -0.67
}

{
  "formula": "Tb3Cu3Si",
  "functional": "PBE",
  "state": "optimized geometry",
  "lattice_angstrom": [[5.1104, -2.0437, 0.0000], [5.1104, 2.0437, 0.0000], [-4.7803, 0.0000, 13.7406]],
  "species": ["Tb", "Tb", "Tb", "Tb", "Tb", "Tb", "Cu", "Cu", "Cu", "Cu", "Cu", "Cu", "Si", "Si"],
  "frac_coords": [[0.0392, 0.0392, 0.3917], [0.1009, 0.1009, 0.9197], [0.2533, 0.2533, 0.2353], [0.7467, 0.7467, 0.7647], [0.8991, 0.8991, 0.0803], [0.9608, 0.9608, 0.6083], [0.3599, 0.3599, 0.4605], [0.3949, 0.3949, 0.9222], [0.4553, 0.4553, 0.7637], [0.5447, 0.5447, 0.2363], [0.6051, 0.6051, 0.0778], [0.6401, 0.6401, 0.5395], [0.2537, 0.2537, 0.6096], [0.7463, 0.7463, 0.3904]],
  "vol_a3_per_atom": 20.502,
  "e_form_raw_ev_per_atom": -0.39
}

{
  "formula": "Tb3Cu4Si2",
  "functional": "PBE",
  "state": "optimized geometry",
  "lattice_angstrom": [[5.2041, -2.0829, 0.0000], [5.2041, 2.0829, 0.0000], [-2.6514, 0.0000, 7.7991]],
  "species": ["Tb", "Tb", "Tb", "Cu", "Cu", "Cu", "Cu", "Si", "Si"],
  "frac_coords": [[0.0000, 0.0000, 0.0000], [0.3356, 0.3356, 0.3342], [0.6644, 0.6644, 0.6658], [0.0591, 0.0591, 0.3883], [0.2831, 0.2831, 0.9413], [0.7169, 0.7169, 0.0587], [0.9409, 0.9409, 0.6117], [0.3897, 0.3897, 0.7211], [0.6103, 0.6103, 0.2789]],
  "vol_a3_per_atom": 18.786,
  "e_form_raw_ev_per_atom": -0.51
}

{
  "formula": "Tb3Cu2Si3",
  "functional": "PBE",
  "state": "optimized geometry",
  "lattice_angstrom": [[2.0920, -5.2026, 0.0000], [2.0920, 5.2026, 0.0000], [0.0000, 0.0000, 14.0228]],
  "species": ["Tb", "Tb", "Tb", "Tb", "Tb", "Tb", "Cu", "Cu", "Cu", "Cu", "Si", "Si", "Si", "Si", "Si", "Si"],
  "frac_coords": [[0.0861, 0.9139, 0.6133], [0.0861, 0.9139, 0.8867], [0.3703, 0.6297, 0.7500], [0.6297, 0.3703, 0.2500], [0.9139, 0.0861, 0.1133], [0.9139, 0.0861, 0.3867], [0.2090, 0.7910, 0.0890], [0.2090, 0.7910, 0.4110], [0.7910, 0.2090, 0.5890], [0.7910, 0.2090, 0.9110], [0.3300, 0.6700, 0.2500], [0.3914, 0.6086, 0.5401], [0.3914, 0.6086, 0.9599], [0.6086, 0.3914, 0.0401], [0.6086, 0.3914, 0.4599], [0.6700, 0.3300, 0.7500]],
  "vol_a3_per_atom": 19.078,
  "e_form_raw_ev_per_atom": -0.66
}